Record 1
Compound: GaAg2PdF6
Source: the Alexandria database
Functional: PBE
Structure: optimized geometry

abc: 6.9572 6.6146 5.2000
angles: 55.97 57.30 47.37
Element x y z (fractional)
F  0.6839  0.1187  0.7801
F  0.3820  0.5842  0.9672
F  0.2503  0.0481  0.1358
F  0.1926  0.5571  0.6661
F  0.4397  0.0754  0.4370
F  0.9484  0.5136  0.3230
Ga  0.3162  0.3162  0.0515
Ag  0.0051  0.1053  0.8813
Ag  0.6273  0.5270  0.2217
Pd  0.8161  0.8161  0.5515

Values from the calculation:
- formation energy (no corrections) (kJ per mole of atoms) = -151.3
- DFT total energy (eV per cell) = -40.83
- M_tot (μB/f.u.) = 1.0

***

Record 2
Compound: Be3NiAg
Source: the Alexandria database
Functional: PBE
Structure: optimized geometry

abc: 3.9877 3.9877 3.9877
angles: 90.00 90.00 90.00
Element x y z (fractional)
Ni  0.0000  0.0000  0.0000
Ag  0.5000  0.5000  0.5000
Be  0.0000  0.0000  0.5000
Be  0.0000  0.5000  0.0000
Be  0.5000  0.0000  0.0000

Values from the calculation:
- DFT total energy (eV per cell) = -17.73
- M_tot (μB/f.u.) = 0.0
- polymorph energy (0 for the lowest one) (meV/atom) = 0
- formation enthalpy at 0 K (eV/f.u.) = 2.08

***

Record 3
Compound: MnAs2W4
Source: the Alexandria database
Functional: PBE
Structure: optimized geometry

abc: 4.4741 4.4741 7.1079
angles: 71.66 71.66 90.00
Element x y z (fractional)
Mn  0.0000  0.0000  0.0000
W  0.5000  0.0000  0.0000
W  0.1812  0.1812  0.6376
W  0.0000  0.5000  0.0000
W  0.8188  0.8188  0.3624
As  0.6247  0.6247  0.7506
As  0.3753  0.3753  0.2494

Values from the calculation:
- DFT total energy (eV per cell) = -61.55
- M_tot (μB/f.u.) = 0.0
- formation enthalpy at 0 K (eV/f.u.) = 8.73

***

Record 4
Compound: SrMg2Au2
Source: the Alexandria database
Functional: PBE
Structure: optimized geometry

abc: 4.4032 4.4032 6.2903
angles: 90.00 90.00 90.00
Element x y z (fractional)
Mg  0.5000  0.0000  0.5000
Mg  0.0000  0.5000  0.5000
Au  0.5000  0.5000  0.7755
Au  0.5000  0.5000  0.2245
Sr  0.0000  0.0000  0.0000

Values from the calculation:
- DFT total energy (eV per cell) = -14.35
- M_tot (μB/f.u.) = 0.0
- polymorph energy (0 for the lowest one) (meV/atom) = 59
- formation enthalpy at 0 K (eV/f.u.) = -2.92

***

Record 5
Compound: Sc4CdIr2
Source: the Alexandria database
Functional: PBE
Structure: optimized geometry

abc: 4.6750 4.6750 7.8906
angles: 72.77 72.77 60.00
Element x y z (fractional)
Sc  0.8680  0.8680  0.3959
Sc  0.1320  0.1320  0.6041
Sc  0.3850  0.3850  0.8450
Sc  0.6150  0.6150  0.1550
Ir  0.2527  0.2527  0.2418
Ir  0.7473  0.7473  0.7582
Cd  0.0000  0.0000  0.0000

Values from the calculation:
- DFT total energy (eV per cell) = -48.74
- M_tot (μB/f.u.) = 0.0
- formation enthalpy at 0 K (eV/f.u.) = -4.78

***

Record 6
Compound: B3PBr
Source: the Alexandria database
Functional: PBE
Structure: optimized geometry

abc: 4.1335 4.1335 4.1335
angles: 90.00 90.00 90.00
Element x y z (fractional)
P  0.5000  0.5000  0.5000
B  0.0000  0.0000  0.5000
B  0.0000  0.5000  0.0000
B  0.5000  0.0000  0.0000
Br  0.0000  0.0000  0.0000

Values from the calculation:
- formation energy (no corrections) (kJ per mole of atoms) = 256.3
- DFT total energy (eV per cell) = -13.83
- M_tot (μB/f.u.) = 0.0
- polymorph energy (0 for the lowest one) (meV/atom) = 1091

***

Record 7
Compound: LaGdMnIn
Source: the Alexandria database
Functional: PBE
Structure: optimized geometry

abc: 5.3629 5.3629 5.3629
angles: 60.00 60.00 60.00
Element x y z (fractional)
La  0.2500  0.2500  0.2500
Gd  0.7500  0.7500  0.7500
In  0.0000  0.0000  0.0000
Mn  0.5000  0.5000  0.5000

Values from the calculation:
- DFT total energy (eV per cell) = -31.28
- M_tot (μB/f.u.) = 3.7
- formation enthalpy at 0 K (eV/f.u.) = -0.36

***

Record 8
Compound: MgTlAgPb2
Source: the Alexandria database
Functional: PBE
Structure: optimized geometry

abc: 5.8573 5.2676 5.8573
angles: 90.00 90.00 90.00
Element x y z (fractional)
Mg  0.0000  0.5000  0.0000
Ag  0.5000  0.5000  0.5000
Pb  0.5000  0.0000  0.0000
Pb  0.0000  0.0000  0.5000
Tl  0.0000  0.0000  0.0000

Values from the calculation:
- DFT total energy (eV per cell) = -10.97
- M_tot (μB/f.u.) = 0.0
- formation enthalpy at 0 K (eV/f.u.) = 3.26